The following is a GGA-PBE calculation of a geometry-optimized IrPb structure, from the Alexandria database.

**Volume**: 29.0 Å³ per atom
**Calculated total energy**: -5.382 eV/atom
**SG**: F-43m, No. 216
**Energy of formation from the pure elements**: 0.9031 eV per atom

CIF file:
```
data_IrPb
_chemical_formula_sum 'Ir1 Pb1'
_space_group_name_H-M_alt 'P 1'
_space_group_IT_number 1
_space_group_name_Hall 'P 1'
_cell_length_a 4.3447
_cell_length_b 4.3447
_cell_length_c 4.3447
_cell_angle_alpha 60.00
_cell_angle_beta 60.00
_cell_angle_gamma 60.00
loop_
_atom_site_label
_atom_site_fract_x
_atom_site_fract_y
_atom_site_fract_z
Ir1 0.0000 0.0000 0.0000
Pb1 0.7500 0.7500 0.7500
```


The following is a GGA-PBE calculation of a geometry-optimized LiTl2InGe structure, from the Alexandria database.

**Volume**: 34.2 Å³ per atom
**Calculated total energy**: -2.501 eV/atom
**SG**: P4/mmm, No. 123
**Energy of formation from the pure elements**: 0.2990 eV per atom

CIF file:
```
data_LiTl2InGe
_chemical_formula_sum 'Li1 Tl2 In1 Ge1'
_space_group_name_H-M_alt 'P 1'
_space_group_IT_number 1
_space_group_name_Hall 'P 1'
_cell_length_a 5.6349
_cell_length_b 5.6349
_cell_length_c 5.3852
_cell_angle_alpha 90.00
_cell_angle_beta 90.00
_cell_angle_gamma 90.00
loop_
_atom_site_label
_atom_site_fract_x
_atom_site_fract_y
_atom_site_fract_z
Li1 0.0000 0.0000 0.0000
Tl1 0.0000 0.5000 0.5000
Tl2 0.5000 0.0000 0.5000
In1 0.5000 0.5000 0.0000
Ge1 0.5000 0.5000 0.5000
```


The following is a GGA-PBE calculation of a geometry-optimized MgRhAu3 structure, from the Alexandria database.

**Volume**: 17.5 Å³ per atom
**Calculated total energy**: -3.911 eV/atom
**SG**: P2_1/c, No. 14
**Energy of formation from the pure elements**: -0.1549 eV per atom

CIF file:
```
data_MgRhAu3
_chemical_formula_sum 'Mg4 Rh4 Au12'
_space_group_name_H-M_alt 'P 1'
_space_group_IT_number 1
_space_group_name_Hall 'P 1'
_cell_length_a 4.9276
_cell_length_b 5.6418
_cell_length_c 13.4569
_cell_angle_alpha 90.00
_cell_angle_beta 110.77
_cell_angle_gamma 90.00
loop_
_atom_site_label
_atom_site_fract_x
_atom_site_fract_y
_atom_site_fract_z
Mg1 0.1082 0.0983 0.2512
Mg2 0.1082 0.4017 0.7512
Mg3 0.8918 0.5983 0.2488
Mg4 0.8918 0.9017 0.7488
Rh1 0.3009 0.0362 0.6413
Rh2 0.3009 0.4638 0.1413
Rh3 0.6991 0.5362 0.8587
Rh4 0.6991 0.9638 0.3587
Au1 0.1156 0.1905 0.9476
Au2 0.1156 0.3095 0.4476
Au3 0.2768 0.6838 0.9408
Au4 0.2768 0.8162 0.4408
Au5 0.4716 0.5447 0.6460
Au6 0.4716 0.9553 0.1460
Au7 0.5284 0.0447 0.8540
Au8 0.5284 0.4553 0.3540
Au9 0.7232 0.1838 0.5592
Au10 0.7232 0.3162 0.0592
Au11 0.8844 0.6905 0.5524
Au12 0.8844 0.8095 0.0524
```


The following is a GGA-PBE calculation of a geometry-optimized MgBRuWSe structure, from the Alexandria database.

**Volume**: 19.6 Å³ per atom
**Calculated total energy**: -6.736 eV/atom
**SG**: Pmm2, No. 25
**Energy relative to the elements, uncorrected**: 61 meV per atom

CIF file:
```
data_MgBRuWSe
_chemical_formula_sum 'Mg1 B1 Ru1 W1 Se1'
_space_group_name_H-M_alt 'P 1'
_space_group_IT_number 1
_space_group_name_Hall 'P 1'
_cell_length_a 3.8740
_cell_length_b 3.9936
_cell_length_c 6.3470
_cell_angle_alpha 90.00
_cell_angle_beta 90.00
_cell_angle_gamma 90.00
loop_
_atom_site_label
_atom_site_fract_x
_atom_site_fract_y
_atom_site_fract_z
Mg1 0.0000 0.0000 0.0000
B1 0.5000 0.5000 0.8148
Ru1 0.0000 0.5000 0.6721
W1 0.5000 0.0000 0.6766
Se1 0.0000 0.0000 0.4181
```


The following is a GGA-PBE calculation of a geometry-optimized Tb4Pm6Sm structure, from the Alexandria database.

**Volume**: 35.4 Å³ per atom
**Calculated total energy**: -4.334 eV/atom
**SG**: I-42m, No. 121
**Energy of formation from the pure elements**: 0.3704 eV per atom

CIF file:
```
data_Tb4Pm6Sm
_chemical_formula_sum 'Tb4 Pm6 Sm1'
_space_group_name_H-M_alt 'P 1'
_space_group_IT_number 1
_space_group_name_Hall 'P 1'
_cell_length_a 8.6400
_cell_length_b 8.6400
_cell_length_c 8.6400
_cell_angle_alpha 127.92
_cell_angle_beta 127.92
_cell_angle_gamma 76.75
loop_
_atom_site_label
_atom_site_fract_x
_atom_site_fract_y
_atom_site_fract_z
Tb1 0.2542 0.2542 0.6681
Tb2 0.4138 0.7458 0.0000
Tb3 0.5862 0.5862 0.3319
Tb4 0.7458 0.4138 0.0000
Pm1 0.0000 0.5000 0.5000
Pm2 0.0419 0.5828 0.0000
Pm3 0.4172 0.4172 0.4590
Pm4 0.5000 0.0000 0.5000
Pm5 0.5828 0.0419 0.0000
Pm6 0.9581 0.9581 0.5410
Sm1 0.0000 0.0000 0.0000
```


The following is a GGA-PBE calculation of a geometry-optimized GeSb2CN structure, from the Alexandria database.

**Volume**: 21.3 Å³ per atom
**Calculated total energy**: -5.067 eV/atom
**SG**: P4/mmm, No. 123
**Energy relative to the elements, uncorrected**: 1015 meV per atom

CIF file:
```
data_GeSb2CN
_chemical_formula_sum 'Ge1 Sb2 C1 N1'
_space_group_name_H-M_alt 'P 1'
_space_group_IT_number 1
_space_group_name_Hall 'P 1'
_cell_length_a 6.3865
_cell_length_b 6.3865
_cell_length_c 2.6064
_cell_angle_alpha 90.00
_cell_angle_beta 90.00
_cell_angle_gamma 90.00
loop_
_atom_site_label
_atom_site_fract_x
_atom_site_fract_y
_atom_site_fract_z
Ge1 0.0000 0.0000 0.0000
Sb1 0.0000 0.5000 0.5000
Sb2 0.5000 0.0000 0.5000
C1 0.5000 0.5000 0.5000
N1 0.5000 0.5000 0.0000
```


The following is a GGA-PBE calculation of a geometry-optimized CePuRhPb structure, from the Alexandria database.

**Volume**: 24.7 Å³ per atom
**Calculated total energy**: -8.254 eV/atom
**SG**: P4mm, No. 99
**Energy of formation from the pure elements**: -0.4230 eV per atom

CIF file:
```
data_CePuRhPb
_chemical_formula_sum 'Ce1 Pu1 Rh1 Pb1'
_space_group_name_H-M_alt 'P 1'
_space_group_IT_number 1
_space_group_name_Hall 'P 1'
_cell_length_a 3.4106
_cell_length_b 3.4106
_cell_length_c 8.5050
_cell_angle_alpha 90.00
_cell_angle_beta 90.00
_cell_angle_gamma 90.00
loop_
_atom_site_label
_atom_site_fract_x
_atom_site_fract_y
_atom_site_fract_z
Ce1 0.0000 0.0000 0.0000
Pu1 0.0000 0.0000 0.5877
Rh1 0.5000 0.5000 0.7997
Pb1 0.5000 0.5000 0.2971
```


The following is a GGA-PBE calculation of a geometry-optimized Al8ZnMo2 structure, from the Alexandria database.

**Volume**: 16.7 Å³ per atom
**Calculated total energy**: -4.823 eV/atom
**SG**: Cmmm, No. 65
**Energy of formation from the pure elements**: -0.0157 eV per atom

CIF file:
```
data_Al8ZnMo2
_chemical_formula_sum 'Al8 Zn1 Mo2'
_space_group_name_H-M_alt 'P 1'
_space_group_IT_number 1
_space_group_name_Hall 'P 1'
_cell_length_a 6.5117
_cell_length_b 6.5117
_cell_length_c 4.4741
_cell_angle_alpha 90.00
_cell_angle_beta 90.00
_cell_angle_gamma 104.04
loop_
_atom_site_label
_atom_site_fract_x
_atom_site_fract_y
_atom_site_fract_z
Al1 0.1683 0.1683 0.0000
Al2 0.1906 0.4702 0.5000
Al3 0.2440 0.7560 0.0000
Al4 0.4702 0.1906 0.5000
Al5 0.5298 0.8094 0.5000
Al6 0.7560 0.2440 0.0000
Al7 0.8094 0.5298 0.5000
Al8 0.8317 0.8317 0.0000
Zn1 0.5000 0.5000 0.0000
Mo1 0.1244 0.8756 0.5000
Mo2 0.8756 0.1244 0.5000
```